[1]
Entry from Alexandria: an optimized crystal structure of TiNbRu (GGA-PBE).

Summary:
SG = Immm
Relative energy among the computed polymorphs = 0.578 eV per atom
Electronic total energy = -8.983 eV per atom
Energy of formation = 0.097 eV/atom

Cell: 4.4943 5.2509 5.2509 Å, 95.00 64.66 64.66°
Last column: nearest neighbours and their distance in Å.
Sites, in units of the cell vectors:
Ti1 0.0000 0.8358 0.1642  1 Ti 2.54, 4 Nb 2.59-2.75
Ti2 0.0000 0.1642 0.8358  1 Ti 2.54, 4 Nb 2.59-2.75
Nb1 0.5000 0.6693 0.3307  4 Ti 2.59-2.75, 1 Nb 2.62
Nb2 0.5000 0.3307 0.6693  4 Ti 2.59-2.75, 1 Nb 2.62
Ru1 0.7504 0.7496 0.7496  2 Ru 2.74-2.75, 6 Nb 2.91-2.94, 6 Ti 2.93-2.94
Ru2 0.2496 0.2504 0.2504  2 Ru 2.74-2.75, 6 Nb 2.91-2.94, 6 Ti 2.93-2.94

***

[2]
Entry from Alexandria: an optimized crystal structure of TiNbRu3 (GGA-PBE).

Summary:
SG = Pm-3m
Relative energy among the computed polymorphs = 0.000 eV per atom
Electronic total energy = -8.287 eV per atom
Energy of formation = 0.872 eV/atom

Cell: 4.4439 4.4439 4.4439 Å, 90.00 90.00 90.00°
Last column: nearest neighbours and their distance in Å.
Sites, in units of the cell vectors:
Ru1 0.0000 0.5000 0.0000  2 Ti 2.22
Ru2 0.0000 0.0000 0.5000  2 Ti 2.22
Ru3 0.5000 0.0000 0.0000  2 Ti 2.22
Nb1 0.5000 0.5000 0.5000  12 Ru 3.14
Ti1 0.0000 0.0000 0.0000  6 Ru 2.22